1.
Compound: CoPtO3
Source: the Open Quantum Materials Database
Functional: GGA+U
Structure: optimized geometry

Summary:
Space-group type: Pm-3m
Energy: -5.01 eV per atom

POSCAR file:
```
CoPtO3
1.0
3.925 0.000 0.000
0.000 3.925 0.000
0.000 0.000 3.925
Co O Pt
1 3 1
Cartesian
0.000 0.000 0.000
1.962 1.962 0.000
1.962 0.000 1.962
0.000 1.962 1.962
1.962 1.962 1.962
```


2.
Compound: CoPtSeO
Source: the Open Quantum Materials Database
Functional: GGA+U
Structure: optimized geometry

Summary:
Space-group type: Pca2_1
Energy above the most stable polymorph in this dataset: 270 meV/atom
Energy: -5.00 eV per atom

POSCAR file:
```
CoPtSeO
1.0
5.869 0.000 0.000
0.000 6.457 0.000
0.000 0.000 7.444
Co O Pt Se
4 4 4 4
Cartesian
3.091 0.638 1.223
0.156 2.591 1.223
3.091 3.867 6.220
0.156 5.819 6.220
0.978 3.495 2.674
3.913 6.191 2.674
0.978 0.267 4.769
3.913 2.962 4.769
2.591 4.652 2.548
5.526 5.034 2.548
2.591 1.424 4.896
5.526 1.805 4.896
0.677 0.215 1.050
3.611 3.013 1.050
0.677 3.444 6.394
3.611 6.242 6.394
```


3.
Compound: CoPtSeO
Source: the Open Quantum Materials Database
Functional: GGA+U
Structure: optimized geometry

Summary:
Space-group type: P4/nmm
Energy above the most stable polymorph in this dataset: 517 meV/atom
Energy: -4.76 eV per atom

POSCAR file:
```
CoPtSeO
1.0
4.637 0.000 0.000
0.000 4.637 0.000
0.000 0.000 6.252
Co O Pt Se
2 2 2 2
Cartesian
3.478 3.478 1.862
1.159 1.159 4.389
3.478 3.478 0.168
1.159 1.159 6.084
1.159 1.159 1.809
3.478 3.478 4.443
3.478 1.159 3.126
1.159 3.478 3.126
```